(1)
Here is an optimized crystal structure of NaAcPm from OQMD via LeMat-Bulk. Energies are from PBE.

Values from the calculation:
E_tot in eV/atom: -2.71
Magnetic moment in μB per formula unit: 1.92
ρ in g cm⁻³: 5.24

```
NaAcPm
1.0
0.000 3.970 3.970
3.970 0.000 3.970
3.970 3.970 0.000
Na Ac Pm
1 1 1
direct
0.000 0.000 0.000 Na
0.750 0.750 0.750 Ac
0.250 0.250 0.250 Pm
```

(2)
Here is an optimized crystal structure of NaAcPr from OQMD via LeMat-Bulk. Energies are from PBE.

Values from the calculation:
E_tot in eV/atom: -2.75
Magnetic moment in μB per formula unit: 2.16
ρ in g cm⁻³: 5.09

```
NaAcPr
1.0
0.000 3.996 3.996
3.996 0.000 3.996
3.996 3.996 0.000
Na Ac Pr
1 1 1
direct
0.000 0.000 0.000 Na
0.750 0.750 0.750 Ac
0.250 0.250 0.250 Pr
```

(3)
Here is an optimized crystal structure of NaAcTb from OQMD via LeMat-Bulk. Energies are from PBE.

Values from the calculation:
E_tot in eV/atom: -2.64
Magnetic moment in μB per formula unit: 1.26
ρ in g cm⁻³: 5.58

```
NaAcTb
1.0
0.000 3.934 3.934
3.934 0.000 3.934
3.934 3.934 0.000
Na Ac Tb
1 1 1
direct
0.000 0.000 0.000 Na
0.750 0.750 0.750 Ac
0.250 0.250 0.250 Tb
```

(4)
Here is an optimized crystal structure of NaAcTh from OQMD via LeMat-Bulk. Energies are from PBE.

Values from the calculation:
E_tot in eV/atom: -3.18
Magnetic moment in μB per formula unit: 0.01
ρ in g cm⁻³: 6.68

```
NaAcTh
1.0
0.000 3.912 3.912
3.912 0.000 3.912
3.912 3.912 0.000
Na Ac Th
1 1 1
direct
0.000 0.000 0.000 Na
0.250 0.250 0.250 Ac
0.500 0.500 0.500 Th
```

(5)
Here is an optimized crystal structure of NaAcZr from OQMD via LeMat-Bulk. Energies are from PBE.

Values from the calculation:
E_tot in eV/atom: -3.57
Magnetic moment in μB per formula unit: 2.69
ρ in g cm⁻³: 5.24

```
NaAcZr
1.0
0.000 3.781 3.781
3.781 0.000 3.781
3.781 3.781 0.000
Na Ac Zr
1 1 1
direct
0.000 0.000 0.000 Na
0.750 0.750 0.750 Ac
0.250 0.250 0.250 Zr
```

(6)
Here is an optimized crystal structure of AcNb from OQMD via LeMat-Bulk. Energies are from PBE.

Values from the calculation:
E_tot in eV/atom: -5.59
Magnetic moment in μB per formula unit: 0.31
ρ in g cm⁻³: 8.39
E_form in kJ/mol of formula units: 291.2

```
AcNb
1.0
0.000 3.164 3.164
3.164 0.000 3.164
3.164 3.164 0.000
Ac Nb
1 1
direct
0.000 0.000 0.000 Ac
0.500 0.500 0.500 Nb
```

Number 3 is which compound?
NaAcTb